Entry 1:
The following is a DFT calculation (PBE-GGA) of Zn2TeBr2O3 after structural relaxation.

Results
Symmetry   Pccn
DFT total energy   -4.079 eV per atom

Lattice parameters (Å, degrees): 10.582 15.855 7.703 90.00 90.00 90.00
Element x y z (fractional)
Zn: 0.006 0.109 0.159
Zn: 0.006 0.391 0.659
Zn: 0.237 0.022 0.399
Zn: 0.237 0.478 0.899
Zn: 0.263 0.022 0.899
Zn: 0.263 0.478 0.399
Zn: 0.494 0.109 0.659
Zn: 0.494 0.391 0.159
Zn: 0.506 0.609 0.841
Zn: 0.506 0.891 0.341
Zn: 0.737 0.522 0.601
Zn: 0.737 0.978 0.101
Zn: 0.763 0.522 0.101
Zn: 0.763 0.978 0.601
Zn: 0.994 0.609 0.341
Zn: 0.994 0.891 0.841
Te: 0.029 0.097 0.709
Te: 0.029 0.403 0.209
Te: 0.471 0.097 0.209
Te: 0.471 0.403 0.709
Te: 0.529 0.597 0.291
Te: 0.529 0.903 0.791
Te: 0.971 0.597 0.791
Te: 0.971 0.903 0.291
Br: 0.087 0.214 0.349
Br: 0.087 0.286 0.849
Br: 0.209 0.632 0.440
Br: 0.209 0.868 0.940
Br: 0.291 0.632 0.940
Br: 0.291 0.868 0.440
Br: 0.413 0.214 0.849
Br: 0.413 0.286 0.349
Br: 0.587 0.714 0.651
Br: 0.587 0.786 0.151
Br: 0.709 0.132 0.560
Br: 0.709 0.368 0.060
Br: 0.791 0.132 0.060
Br: 0.791 0.368 0.560
Br: 0.913 0.714 0.151
Br: 0.913 0.786 0.651
O: 0.057 0.010 0.307
O: 0.057 0.490 0.807
O: 0.089 0.080 0.940
O: 0.089 0.420 0.440
O: 0.190 0.055 0.645
O: 0.190 0.445 0.145
O: 0.310 0.055 0.145
O: 0.310 0.445 0.645
O: 0.411 0.080 0.440
O: 0.411 0.420 0.940
O: 0.443 0.010 0.807
O: 0.443 0.490 0.307
O: 0.557 0.510 0.693
O: 0.557 0.990 0.193
O: 0.589 0.580 0.060
O: 0.589 0.920 0.560
O: 0.690 0.555 0.355
O: 0.690 0.945 0.855
O: 0.810 0.555 0.855
O: 0.810 0.945 0.355
O: 0.911 0.580 0.560
O: 0.911 0.920 0.060
O: 0.943 0.510 0.193
O: 0.943 0.990 0.693

Entry 2:
The following is a DFT calculation (PBE-GGA) of ScHPd3 after structural relaxation.

Results
Magnetization   0.00 Bohr magnetons per cell
Symmetry   Pm-3m
DFT total energy   -5.750 eV per atom

Lattice parameters (Å, degrees): 4.039 4.039 4.039 90.00 90.00 90.00
Element x y z (fractional)
Sc: 0.000 0.000 0.000
H: 0.500 0.500 0.500
Pd: 0.000 0.500 0.500
Pd: 0.500 0.000 0.500
Pd: 0.500 0.500 0.000

Entry 3:
The following is a DFT calculation (PBE-GGA) of BaTmAg after structural relaxation.

Results
Magnetization   0.10 Bohr magnetons per cell
Energy above the lowest structure with this stoichiometry   0 meV/atom
Symmetry   F-43m

Lattice parameters (Å, degrees): 5.355 5.355 5.355 60.00 60.00 60.00
Element x y z (fractional)
Ba: 0.000 0.000 0.000
Tm: 0.500 0.500 0.500
Ag: 0.250 0.250 0.250

Entry 4:
The following is a DFT calculation (PBE-GGA) of SbW4C2S after structural relaxation.

Results
Magnetization   0.00 Bohr magnetons per cell
Symmetry   P-6m2
DFT total energy   -9.535 eV per atom

Lattice parameters (Å, degrees): 3.219 3.219 12.595 90.00 90.00 120.00
Element x y z (fractional)
Sb: 0.000 0.000 0.000
W: 0.000 0.000 0.352
W: 0.000 0.000 0.648
W: 0.333 0.667 0.181
W: 0.333 0.667 0.819
C: 0.667 0.333 0.262
C: 0.667 0.333 0.738
S: 0.333 0.667 0.500

Entry 5:
The following is a DFT calculation (PBE-GGA) of LaB4W after structural relaxation.

Results
Magnetization   0.00 Bohr magnetons per cell
Energy above the lowest structure with this stoichiometry   310 meV/atom
Symmetry   Immm

Lattice parameters (Å, degrees): 4.954 4.954 4.954 142.59 111.47 80.78
Element x y z (fractional)
La: 0.000 0.000 0.000
B: 0.099 0.759 0.340
B: 0.418 0.759 0.660
B: 0.582 0.241 0.340
B: 0.901 0.241 0.660
W: 0.500 0.500 0.000

Entry 6:
The following is a DFT calculation (PBE-GGA) of ZnFeMoAs after structural relaxation.

Results
Magnetization   0.84 Bohr magnetons per cell
Energy above the lowest structure with this stoichiometry   248 meV/atom
Symmetry   F-43m

Lattice parameters (Å, degrees): 4.337 4.337 4.337 60.00 60.00 60.00
Element x y z (fractional)
Zn: 0.000 0.000 0.000
Fe: 0.500 0.500 0.500
Mo: 0.750 0.750 0.750
As: 0.250 0.250 0.250

Entry 7:
The following is a DFT calculation (PBE-GGA) of CuB3Mo4 after structural relaxation.

Results
Magnetization   0.00 Bohr magnetons per cell
Symmetry   P6_3/mmc
DFT total energy   -8.489 eV per atom

Lattice parameters (Å, degrees): 3.122 3.122 23.227 90.00 90.00 120.00
Element x y z (fractional)
Cu: 0.333 0.667 0.250
Cu: 0.667 0.333 0.750
B: 0.000 0.000 0.000
B: 0.000 0.000 0.500
B: 0.333 0.667 0.613
B: 0.333 0.667 0.887
B: 0.667 0.333 0.113
B: 0.667 0.333 0.387
Mo: 0.000 0.000 0.162
Mo: 0.000 0.000 0.338
Mo: 0.000 0.000 0.662
Mo: 0.000 0.000 0.838
Mo: 0.333 0.667 0.057
Mo: 0.333 0.667 0.443
Mo: 0.667 0.333 0.557
Mo: 0.667 0.333 0.943

Entry 8:
The following is a DFT calculation (PBE-GGA) of AlGaHgTe4 after structural relaxation.

Results
Symmetry   I-4
DFT total energy   -3.147 eV per atom

Lattice parameters (Å, degrees): 7.456 7.456 7.456 130.38 130.38 72.80
Element x y z (fractional)
Al: 0.000 0.000 0.000
Ga: 0.750 0.250 0.500
Hg: 0.250 0.750 0.500
Te: 0.134 0.613 0.970
Te: 0.387 0.357 0.521
Te: 0.643 0.165 0.030
Te: 0.835 0.866 0.479

Entry 9:
The following is a DFT calculation (PBE-GGA) of NiW4C3 after structural relaxation.

Results
Magnetization   0.36 Bohr magnetons per cell
Symmetry   P6_3/mmc
DFT total energy   -10.388 eV per atom

Lattice parameters (Å, degrees): 3.098 3.098 22.542 90.00 90.00 120.00
Element x y z (fractional)
Ni: 0.333 0.667 0.250
Ni: 0.667 0.333 0.750
W: 0.000 0.000 0.162
W: 0.000 0.000 0.338
W: 0.000 0.000 0.662
W: 0.000 0.000 0.838
W: 0.333 0.667 0.060
W: 0.333 0.667 0.440
W: 0.667 0.333 0.560
W: 0.667 0.333 0.940
C: 0.000 0.000 0.000
C: 0.000 0.000 0.500
C: 0.333 0.667 0.615
C: 0.333 0.667 0.885
C: 0.667 0.333 0.115
C: 0.667 0.333 0.385

Entry 10:
The following is a DFT calculation (PBE-GGA) of Sc2CuB6 after structural relaxation.

Results
Magnetization   0.00 Bohr magnetons per cell
Symmetry   Pbam
DFT total energy   -6.820 eV per atom

Lattice parameters (Å, degrees): 8.860 11.178 3.421 90.00 90.00 90.00
Element x y z (fractional)
Sc: 0.056 0.130 0.000
Sc: 0.177 0.414 0.000
Sc: 0.323 0.914 0.000
Sc: 0.444 0.630 0.000
Sc: 0.556 0.370 0.000
Sc: 0.677 0.086 0.000
Sc: 0.823 0.586 0.000
Sc: 0.944 0.870 0.000
Cu: 0.141 0.679 0.000
Cu: 0.359 0.179 0.000
Cu: 0.641 0.821 0.000
Cu: 0.859 0.321 0.000
B: 0.019 0.289 0.500
B: 0.052 0.564 0.500
B: 0.102 0.973 0.500
B: 0.134 0.820 0.500
B: 0.203 0.240 0.500
B: 0.248 0.079 0.500
B: 0.252 0.579 0.500
B: 0.297 0.740 0.500
B: 0.366 0.320 0.500
B: 0.398 0.473 0.500
B: 0.448 0.064 0.500
B: 0.481 0.789 0.500
B: 0.519 0.211 0.500
B: 0.552 0.936 0.500
B: 0.602 0.527 0.500
B: 0.634 0.680 0.500
B: 0.703 0.260 0.500
B: 0.748 0.421 0.500
B: 0.752 0.921 0.500
B: 0.797 0.760 0.500
B: 0.866 0.180 0.500
B: 0.898 0.027 0.500
B: 0.948 0.436 0.500
B: 0.981 0.711 0.500

Entry 11:
The following is a DFT calculation (PBE-GGA) of LuTaSb2Ir2 after structural relaxation.

Results
Magnetization   0.01 Bohr magnetons per cell
Symmetry   Pmn2_1
DFT total energy   -7.815 eV per atom

Lattice parameters (Å, degrees): 4.495 8.978 6.342 90.00 90.00 90.00
Element x y z (fractional)
Lu: 0.000 0.125 0.000
Lu: 0.500 0.875 0.500
Ta: 0.000 0.621 0.989
Ta: 0.500 0.379 0.489
Sb: 0.000 0.123 0.504
Sb: 0.000 0.629 0.481
Sb: 0.500 0.371 0.981
Sb: 0.500 0.877 0.004
Ir: 0.000 0.389 0.728
Ir: 0.000 0.856 0.764
Ir: 0.500 0.144 0.264
Ir: 0.500 0.611 0.228

Entry 12:
The following is a DFT calculation (PBE-GGA) of CdF after structural relaxation.

Results
Symmetry   F-43m
DFT total energy   -2.669 eV per atom

Lattice parameters (Å, degrees): 3.769 3.769 3.769 60.00 60.00 60.00
Element x y z (fractional)
Cd: 0.000 0.000 0.000
F: 0.750 0.750 0.750